Entry 1:
## VTcPd3 (PBE)

Data for an optimized crystal structure of VTcPd3.

```
data_VTcPd3
_cell_length_a 4.569
_cell_length_b 4.569
_cell_length_c 4.569
_cell_angle_alpha 90.00
_cell_angle_beta 90.00
_cell_angle_gamma 90.00
_space_group_name_H-M_alt 'P m -3 m'
_space_group_IT_number 221
_space_group_name_Hall '-P 4 2 3'
loop_
_atom_site_label
_atom_site_type_symbol
_atom_site_fract_x
_atom_site_fract_y
_atom_site_fract_z
V1 V 0.000 0.000 0.000
Tc1 Tc 0.500 0.500 0.500
Pd1 Pd 0.000 0.000 0.500
```

Calculated values
DFT formation energy: 1.097 eV/atom
polymorph energy (0 for the lowest one): 0 meV per atom
crystal system: cubic


Entry 2:
## BaSnHg (PBE)

Data for an optimized crystal structure of BaSnHg.

```
data_BaSnHg
_cell_length_a 5.297
_cell_length_b 8.513
_cell_length_c 8.699
_cell_angle_alpha 90.00
_cell_angle_beta 90.00
_cell_angle_gamma 90.00
_space_group_name_H-M_alt 'I m m 2'
_space_group_IT_number 44
_space_group_name_Hall 'I 2 -2'
loop_
_atom_site_label
_atom_site_type_symbol
_atom_site_fract_x
_atom_site_fract_y
_atom_site_fract_z
Ba1 Ba 0.000 0.000 0.000
Ba2 Ba 0.000 0.500 0.087
Sn1 Sn 0.000 0.310 0.699
Hg1 Hg 0.000 0.180 0.378
```

Calculated values
DFT formation energy: -0.545 eV/atom
crystal system: orthorhombic


Entry 3:
## Si2Te (PBE)

Data for an optimized crystal structure of Si2Te.

```
data_Si2Te
_cell_length_a 3.7136
_cell_length_b 3.7136
_cell_length_c 10.7305
_cell_angle_alpha 90.00
_cell_angle_beta 90.00
_cell_angle_gamma 120.00
_space_group_name_H-M_alt 'P 63/m m c'
_space_group_IT_number 194
_space_group_name_Hall '-P 6c 2c'
loop_
_atom_site_label
_atom_site_type_symbol
_atom_site_fract_x
_atom_site_fract_y
_atom_site_fract_z
Si1 Si 0.3333 0.6667 0.0527
Te1 Te 0.3333 0.6667 0.7500
```

Calculated values
energy relative to the elements, uncorrected: 0.400 eV per atom
polymorph energy (0 for the lowest one): 377 meV per atom
crystal system: hexagonal


Entry 4:
## TaHg2Pt (PBE)

Data for an optimized crystal structure of TaHg2Pt.

```
data_TaHg2Pt
_cell_length_a 3.0476
_cell_length_b 3.0476
_cell_length_c 28.2376
_cell_angle_alpha 90.00
_cell_angle_beta 90.00
_cell_angle_gamma 120.00
_space_group_name_H-M_alt 'R -3 m'
_space_group_IT_number 166
_space_group_name_Hall '-R 3 2"'
loop_
_atom_site_label
_atom_site_type_symbol
_atom_site_fract_x
_atom_site_fract_y
_atom_site_fract_z
Ta1 Ta 0.0000 0.0000 0.0000
Hg1 Hg 0.0000 0.0000 0.2476
Pt1 Pt 0.0000 0.0000 0.5000
```

Calculated values
DFT formation energy: 0.267 eV/atom
polymorph energy (0 for the lowest one): 301 meV per atom
crystal system: trigonal